# MgFe2SnO6

A geometry-optimized MgFe2SnO6 structure (PBE+U, Alexandria via LeMat-Bulk).

abc: 5.2283 5.2283 5.5855
angles: 62.12 62.12 60.02
With the nearest neighbours (Å) after each atom.
Sites, in units of the cell vectors:
O  0.2249  0.9071  0.2508  2 Fe 2.00-2.18, 1 Sn 2.06, 1 Mg 2.18
O  0.9070  0.6172  0.2508  2 Fe 2.00-2.18, 1 Sn 2.06, 1 Mg 2.18
O  0.6174  0.2249  0.2508  2 Fe 2.00-2.18, 1 Sn 2.06, 1 Mg 2.18
Mg  0.8102  0.8101  0.5696  6 O 2.07-2.18
O  0.7232  0.1223  0.7521  2 Fe 1.98-2.15, 1 Mg 2.07, 1 Sn 2.15
Sn  0.3124  0.3125  0.0625  6 O 2.06-2.15
Fe  0.0217  0.0217  0.9349  6 O 1.98-2.18
O  0.1223  0.4022  0.7521  2 Fe 1.98-2.15, 1 Mg 2.07, 1 Sn 2.15
Fe  0.5202  0.5202  0.4394  6 O 2.00-2.15
O  0.4023  0.7233  0.7522  2 Fe 1.98-2.15, 1 Mg 2.07, 1 Sn 2.15

## Properties
- crystal system = trigonal
- uncorrected energy (eV per atom) = -6.42
- calculated volume (A^3/atom) = 11.130
- space group = No. 146